1.
# Li2NdThS4 (GGA-PBE, relaxed)
data_Li2NdThS4
_chemical_formula_sum 'Li2 Nd1 Th1 S4'
_cell_length_a 6.6642
_cell_length_b 4.0090
_cell_length_c 6.9293
_cell_angle_alpha 90.00
_cell_angle_beta 110.13
_cell_angle_gamma 90.00
_space_group_name_H-M_alt 'P 1 2/m 1'
_space_group_IT_number 10
loop_
_space_group_symop_operation_xyz
'x,y,z'
'-x,-y,-z'
'-x,y,-z'
'x,-y,z'
loop_
_atom_site_label
_atom_site_type_symbol
_atom_site_fract_x
_atom_site_fract_y
_atom_site_fract_z
_atom_site_occupancy
Li1 Li 0.0000 0.0000 0.0000 1
Li2 Li 0.0000 0.5000 0.5000 1
Nd1 Nd 0.5000 0.0000 0.5000 1
Th1 Th 0.5000 0.5000 0.0000 1
S1 S 0.2364 0.0000 0.7499 1
S2 S 0.2373 0.5000 0.2412 1
# Formation energy (no corrections) = -1705 meV per atom


2.
# LiCaMn (GGA-PBE, relaxed)
data_LiCaMn
_chemical_formula_sum 'Li1 Ca1 Mn1'
_cell_length_a 4.9519
_cell_length_b 4.9519
_cell_length_c 3.3988
_cell_angle_alpha 90.00
_cell_angle_beta 90.00
_cell_angle_gamma 120.00
_space_group_name_H-M_alt 'P 3 m 1'
_space_group_IT_number 156
loop_
_space_group_symop_operation_xyz
'x,y,z'
'-y,x-y,z'
'-x+y,-x,z'
'-y,-x,z'
'-x+y,y,z'
'x,x-y,z'
loop_
_atom_site_label
_atom_site_type_symbol
_atom_site_fract_x
_atom_site_fract_y
_atom_site_fract_z
_atom_site_occupancy
Li1 Li 0.0000 0.0000 0.0000 1
Ca1 Ca 0.3333 0.6667 0.5032 1
Mn1 Mn 0.6667 0.3333 0.0052 1
# Polymorph energy (0 for the lowest one) = 0.139 eV per formula unit
# ΔE_f = 0.436 eV/atom


3.
# Zr2FeCl (GGA-PBE, relaxed)
data_Zr2FeCl
_chemical_formula_sum 'Zr2 Fe1 Cl1'
_cell_length_a 3.2973
_cell_length_b 3.2973
_cell_length_c 8.4639
_cell_angle_alpha 90.00
_cell_angle_beta 90.00
_cell_angle_gamma 90.00
_space_group_name_H-M_alt 'P 4 m m'
_space_group_IT_number 99
loop_
_space_group_symop_operation_xyz
'x,y,z'
'-y,x,z'
'-x,-y,z'
'y,-x,z'
'-x,y,z'
'y,x,z'
'x,-y,z'
'-y,-x,z'
loop_
_atom_site_label
_atom_site_type_symbol
_atom_site_fract_x
_atom_site_fract_y
_atom_site_fract_z
_atom_site_occupancy
Zr1 Zr 0.0000 0.0000 0.0000 1
Zr2 Zr 0.5000 0.5000 0.2531 1
Fe1 Fe 0.5000 0.5000 0.8590 1
Cl1 Cl 0.0000 0.0000 0.4461 1
# Polymorph energy (0 for the lowest one) = 1.512 eV per formula unit
# Formation energy (no corrections) = -127 meV per atom


4.
# La2HoOs2N6 (GGA-PBE, relaxed)
data_La2HoOs2N6
_chemical_formula_sum 'La6 Ho3 Os6 N18'
_cell_length_a 5.7752
_cell_length_b 5.7752
_cell_length_c 17.9991
_cell_angle_alpha 90.00
_cell_angle_beta 90.00
_cell_angle_gamma 120.00
_space_group_name_H-M_alt 'R -3 m'
_space_group_IT_number 166
_space_group_name_Hall '-R 3 2"'
loop_
_atom_site_label
_atom_site_type_symbol
_atom_site_fract_x
_atom_site_fract_y
_atom_site_fract_z
_atom_site_occupancy
La1 La 0.0000 0.0000 0.2090 1
Ho1 Ho 0.0000 0.0000 0.0000 1
Os1 Os 0.0000 0.0000 0.3972 1
N1 N 0.0095 0.5048 0.7626 1
# Formation energy (no corrections) = -562 meV per atom


5.
# TcAg2BI (GGA-PBE, relaxed)
data_TcAg2BI
_chemical_formula_sum 'Tc1 Ag2 B1 I1'
_cell_length_a 5.3132
_cell_length_b 5.3132
_cell_length_c 5.0188
_cell_angle_alpha 90.00
_cell_angle_beta 90.00
_cell_angle_gamma 90.00
_space_group_name_H-M_alt 'P 4/m m m'
_space_group_IT_number 123
_space_group_name_Hall '-P 4 2'
loop_
_atom_site_label
_atom_site_type_symbol
_atom_site_fract_x
_atom_site_fract_y
_atom_site_fract_z
_atom_site_occupancy
Tc1 Tc 0.0000 0.0000 0.0000 1
Ag1 Ag 0.0000 0.5000 0.5000 1
B1 B 0.5000 0.5000 0.0000 1
I1 I 0.0000 0.0000 0.5000 1
# Formation energy (no corrections) = 2218 meV per atom


6.
# K3LiCd2H8

A relaxed structure of K3LiCd2H8 (GGA-PBE, Alexandria).

```
data_K3LiCd2H8
_chemical_formula_sum 'K3 Li1 Cd2 H8'
_cell_length_a 5.8078
_cell_length_b 5.8078
_cell_length_c 7.6062
_cell_angle_alpha 90.00
_cell_angle_beta 90.00
_cell_angle_gamma 120.00
_space_group_name_H-M_alt 'P -3 m 1'
_space_group_IT_number 164
_space_group_name_Hall '-P 3 2"'
loop_
_atom_site_label
_atom_site_type_symbol
_atom_site_fract_x
_atom_site_fract_y
_atom_site_fract_z
_atom_site_occupancy
K1 K 0.0000 0.0000 0.0000 1
K2 K 0.3333 0.6667 0.6586 1
Li1 Li 0.0000 0.0000 0.5000 1
Cd1 Cd 0.3333 0.6667 0.2261 1
H1 H 0.1644 0.3287 0.3302 1
H2 H 0.3333 0.6667 0.9926 1
```


E_tot in Ha/atom, matching the order above: -0.2121, -0.1443, -0.2565, -0.3108, -0.0971, -0.0949